# Ba2CuRh

A PBEsol-optimized structure of Ba2CuRh (meta-GGA SCAN, the Alexandria database).

As for the volume: 108 Å³ per cell. The calculation puts the energy relative to the elements at 26 kJ/mol of formula units. As for the total magnetic moment: 0.0 μB/f.u. The value obtained for the density of states at the Fermi level is 1.52 states/eV/cell. Its total energy is -127.801 eV for the cell shown. For the energy above the most stable polymorph in this dataset, the calculation gives 0.2520 eV per atom.

Cell: 3.737 3.737 7.719 Å, 90.00 90.00 90.00°
Sites, in units of the cell vectors:
Ba  0.000  0.000  0.236
Ba  0.000  0.000  0.764
Cu  0.500  0.500  0.500
Rh  0.500  0.500  0.000